Entry 1:
A plane-wave DFT calculation with meta-GGA SCAN was carried out for a PBEsol-optimized structure of CsGe2As2.

Cell and atoms, written as POSCAR:
```
CsGe2As2
1.0
4.682 0.000 0.000
0.000 4.682 0.000
0.000 0.000 12.653
Cs Ge As
2 4 4
direct
0.000 0.000 0.000 Cs
0.500 0.500 0.500 Cs
0.000 0.500 0.250 Ge
0.000 0.500 0.750 Ge
0.500 0.000 0.250 Ge
0.500 0.000 0.750 Ge
0.000 0.000 0.341 As
0.000 0.000 0.659 As
0.500 0.500 0.159 As
0.500 0.500 0.841 As
```

Output
VASP energy ... -23.47 eV/atom
E_form ... -0.194 eV/atom
DOS at the Fermi energy ... 3.24 states/eV/cell



Entry 2:
A plane-wave DFT calculation with meta-GGA SCAN was carried out for a PBEsol-optimized structure of CsAsH2O4.

Cell and atoms, written as POSCAR:
```
CsAsH2O4
1.0
0.000 5.722 3.894
5.603 0.000 3.894
5.603 5.722 0.000
Cs As H O
2 2 4 8
direct
0.000 0.000 0.000 Cs
0.250 0.250 0.250 Cs
0.511 0.511 0.489 As
0.761 0.761 0.739 As
0.146 0.613 0.758 H
0.492 0.767 0.104 H
0.613 0.146 0.483 H
0.767 0.492 0.637 H
0.280 0.473 0.770 O
0.473 0.280 0.477 O
0.480 0.773 0.970 O
0.485 0.777 0.273 O
0.773 0.480 0.777 O
0.777 0.485 0.465 O
0.785 0.977 0.473 O
0.977 0.785 0.765 O
```

Output
VASP energy ... -12.70 eV/atom
DOS at the Fermi energy ... 0.00 states/eV/cell



Entry 3:
A plane-wave DFT calculation with meta-GGA SCAN was carried out for a PBEsol-optimized structure of Cs2ReAsH.

Cell and atoms, written as POSCAR:
```
Cs2ReAsH
1.0
5.986 0.000 0.000
0.000 5.986 0.000
0.000 0.000 4.649
Cs Re As H
2 1 1 1
direct
0.000 0.500 0.000 Cs
0.500 0.000 0.000 Cs
0.000 0.000 0.000 Re
0.000 0.000 0.500 As
0.500 0.500 0.500 H
```

Output
VASP energy ... -33.25 eV/atom
DOS at the Fermi energy ... 3.24 states/eV/cell



Entry 4:
A plane-wave DFT calculation with meta-GGA SCAN was carried out for a PBEsol-optimized structure of CsAs2HSe.

Cell and atoms, written as POSCAR:
```
CsAs2HSe
1.0
7.555 0.000 0.000
0.000 7.555 0.000
0.000 0.000 6.054
Cs As H Se
1 2 1 1
direct
0.000 0.000 0.000 Cs
0.000 0.500 0.000 As
0.500 0.000 0.000 As
0.500 0.500 0.500 H
0.000 0.000 0.500 Se
```

Output
VASP energy ... -18.74 eV/atom
DOS at the Fermi energy ... 4.23 states/eV/cell



Entry 5:
A plane-wave DFT calculation with meta-GGA SCAN was carried out for a PBEsol-optimized structure of Cs2SnAsH.

Cell and atoms, written as POSCAR:
```
Cs2SnAsH
1.0
6.538 0.000 0.000
0.000 6.538 0.000
0.000 0.000 3.630
Cs Sn As H
2 1 1 1
direct
0.000 0.500 0.000 Cs
0.500 0.000 0.000 Cs
0.000 0.000 0.500 Sn
0.500 0.500 0.500 As
0.500 0.500 0.000 H
```

Output
VASP energy ... -26.93 eV/atom
DOS at the Fermi energy ... 3.90 states/eV/cell



Entry 6:
A plane-wave DFT calculation with meta-GGA SCAN was carried out for a PBEsol-optimized structure of CsHf2As2.

Cell and atoms, written as POSCAR:
```
CsHf2As2
1.0
4.443 0.000 0.000
0.000 4.443 0.000
0.000 0.000 15.063
Cs Hf As
2 4 4
direct
0.000 0.000 0.000 Cs
0.500 0.500 0.500 Cs
0.000 0.500 0.250 Hf
0.000 0.500 0.750 Hf
0.500 0.000 0.250 Hf
0.500 0.000 0.750 Hf
0.000 0.000 0.346 As
0.000 0.000 0.654 As
0.500 0.500 0.154 As
0.500 0.500 0.846 As
```

Output
VASP energy ... -41.42 eV/atom
E_form ... -0.714 eV/atom
DOS at the Fermi energy ... 5.09 states/eV/cell



Entry 7:
A plane-wave DFT calculation with meta-GGA SCAN was carried out for a PBEsol-optimized structure of Cs2HgAs2.

Cell and atoms, written as POSCAR:
```
Cs2HgAs2
1.0
3.826 0.000 0.000
0.000 3.826 0.000
0.000 0.000 23.164
Cs Hg As
4 2 4
direct
0.000 0.000 0.120 Cs
0.000 0.000 0.880 Cs
0.500 0.500 0.380 Cs
0.500 0.500 0.620 Cs
0.000 0.000 0.500 Hg
0.500 0.500 0.000 Hg
0.000 0.500 0.250 As
0.000 0.500 0.750 As
0.500 0.000 0.250 As
0.500 0.000 0.750 As
```

Output
VASP energy ... -37.04 eV/atom
E_form ... -0.206 eV/atom
E above lowest polymorph ... 20 kJ/mol of formula units
DOS at the Fermi energy ... 6.45 states/eV/cell



Entry 8:
A plane-wave DFT calculation with meta-GGA SCAN was carried out for a PBEsol-optimized structure of Cs2HgAs2.

Cell and atoms, written as POSCAR:
```
Cs2HgAs2
1.0
6.833 0.000 0.000
0.000 6.833 0.000
0.000 0.000 8.709
Cs Hg As
4 2 4
direct
0.000 0.500 0.250 Cs
0.000 0.500 0.750 Cs
0.500 0.000 0.250 Cs
0.500 0.000 0.750 Cs
0.000 0.000 0.000 Hg
0.500 0.500 0.500 Hg
0.000 0.000 0.368 As
0.000 0.000 0.632 As
0.500 0.500 0.132 As
0.500 0.500 0.868 As
```

Output
VASP energy ... -37.08 eV/atom
E_form ... -0.247 eV/atom
E above lowest polymorph ... 0 kJ/mol of formula units
DOS at the Fermi energy ... 6.84 states/eV/cell